# 1
DFT (GGA-PBE) results for an optimized crystal structure of NaSi2TcF.

The structure in CIF format:
```
data_NaSi2TcF
_chemical_formula_sum 'Na1 Si2 Tc1 F1'
_cell_length_a 4.604
_cell_length_b 4.604
_cell_length_c 4.093
_cell_angle_alpha 90.00
_cell_angle_beta 90.00
_cell_angle_gamma 90.00
_space_group_name_H-M_alt 'P 4/m m m'
_space_group_IT_number 123
_space_group_name_Hall '-P 4 2'
loop_
_atom_site_label
_atom_site_type_symbol
_atom_site_fract_x
_atom_site_fract_y
_atom_site_fract_z
Na1 Na 0.000 0.000 0.000
Si1 Si 0.000 0.500 0.500
Tc1 Tc 0.500 0.500 0.000
F1 F 0.500 0.500 0.500
```

Values from the calculation:
**Total magnetization**: 1.2 μB/f.u.
**E_form (uncorrected)**: 2.902 eV per formula unit
**Volume**: 87 Å³/f.u.

# 2
DFT (GGA-PBE) results for an optimized crystal structure of NaTiSi2F.

The structure in CIF format:
```
data_NaTiSi2F
_chemical_formula_sum 'Na1 Ti1 Si2 F1'
_cell_length_a 5.052
_cell_length_b 5.052
_cell_length_c 3.669
_cell_angle_alpha 90.00
_cell_angle_beta 90.00
_cell_angle_gamma 90.00
_space_group_name_H-M_alt 'P 4/m m m'
_space_group_IT_number 123
_space_group_name_Hall '-P 4 2'
loop_
_atom_site_label
_atom_site_type_symbol
_atom_site_fract_x
_atom_site_fract_y
_atom_site_fract_z
Na1 Na 0.000 0.000 0.000
Ti1 Ti 0.500 0.500 0.500
Si1 Si 0.000 0.500 0.000
F1 F 0.000 0.000 0.500
```

Values from the calculation:
**Total magnetization**: 0.5 μB/f.u.
**E_form (uncorrected)**: 1.846 eV per formula unit
**Volume**: 94 Å³/f.u.

# 3
DFT (GGA-PBE) results for an optimized crystal structure of NaTlSiF6.

The structure in CIF format:
```
data_NaTlSiF6
_chemical_formula_sum 'Na1 Tl1 Si1 F6'
_cell_length_a 5.6036
_cell_length_b 5.6036
_cell_length_c 5.6662
_cell_angle_alpha 90.00
_cell_angle_beta 90.00
_cell_angle_gamma 120.00
_space_group_name_H-M_alt 'P 3 1 2'
_space_group_IT_number 149
loop_
_space_group_symop_operation_xyz
'x,y,z'
'-y,x-y,z'
'-x+y,-x,z'
'-y,-x,-z'
'-x+y,y,-z'
'x,x-y,-z'
loop_
_atom_site_label
_atom_site_type_symbol
_atom_site_fract_x
_atom_site_fract_y
_atom_site_fract_z
Na1 Na 0.0000 0.0000 0.0000
Tl1 Tl 0.6667 0.3333 0.5000
Si1 Si 0.3333 0.6667 0.0000
F1 F 0.0859 0.4112 0.1746
```

Values from the calculation:
**Total magnetization**: 0.0 μB/f.u.
**E_form (uncorrected)**: -25.791 eV per formula unit
**Volume**: 154 Å³/f.u.

Q: The lowest total magnetization belongs to which entry?
A: NaTlSiF6